Record 1
DFT (PBE) results for RbAgWSeS2 after structural relaxation.

Properties
As for the symmetry: Cmcm. The value obtained for the total moment is 2.0 μB/f.u. The calculation puts the total energy at -30.4 eV/f.u.

Structure (CIF):
```
data_RbAgWSeS2
_chemical_formula_sum 'Rb2 Ag2 W2 Se2 S4'
_cell_length_a 7.9338
_cell_length_b 7.9338
_cell_length_c 10.0917
_cell_angle_alpha 90.00
_cell_angle_beta 90.00
_cell_angle_gamma 152.14
_space_group_name_H-M_alt 'P 1'
_space_group_IT_number 1
loop_
_space_group_symop_operation_xyz
'x,y,z'
loop_
_atom_site_label
_atom_site_type_symbol
_atom_site_fract_x
_atom_site_fract_y
_atom_site_fract_z
Ag1 Ag 0.0485 0.9515 0.2500
Ag2 Ag 0.9515 0.0485 0.7500
Rb1 Rb 0.7437 0.2563 0.2500
Rb2 Rb 0.2563 0.7437 0.7500
S1 S 0.1053 0.8947 0.0257
S2 S 0.1053 0.8947 0.4743
S3 S 0.8947 0.1053 0.5257
S4 S 0.8947 0.1053 0.9743
Se1 Se 0.4300 0.5700 0.2500
Se2 Se 0.5700 0.4300 0.7500
W1 W 0.5000 0.5000 0.0000
W2 W 0.5000 0.5000 0.5000
```

Record 2
DFT (PBE) results for DyHIBr after structural relaxation.

Properties
As for the symmetry: P-3m1. The value obtained for the total moment is 0.0 μB/f.u. The calculation puts the total energy at -16.6 eV/f.u.

Structure (CIF):
```
data_DyHIBr
_chemical_formula_sum 'Dy2 H2 I2 Br2'
_cell_length_a 3.9150
_cell_length_b 3.9150
_cell_length_c 15.5231
_cell_angle_alpha 90.00
_cell_angle_beta 90.00
_cell_angle_gamma 120.00
_space_group_name_H-M_alt 'P 1'
_space_group_IT_number 1
loop_
_space_group_symop_operation_xyz
'x,y,z'
loop_
_atom_site_label
_atom_site_type_symbol
_atom_site_fract_x
_atom_site_fract_y
_atom_site_fract_z
Br1 Br 0.6667 0.3333 0.1231
Br2 Br 0.3333 0.6667 0.8769
Dy1 Dy 0.0000 0.0000 0.2443
Dy2 Dy 0.0000 0.0000 0.7557
H1 H 0.3333 0.6667 0.2476
H2 H 0.6667 0.3333 0.7524
I1 I 0.6667 0.3333 0.3823
I2 I 0.3333 0.6667 0.6177
```

Record 3
DFT (PBE) results for Ag2IBr after structural relaxation.

Properties
As for the symmetry: P3m1. The calculation puts the total energy at -10.1 eV/f.u.

Structure (CIF):
```
data_Ag2IBr
_chemical_formula_sum 'Ag2 I1 Br1'
_cell_length_a 4.5741
_cell_length_b 4.5741
_cell_length_c 7.4680
_cell_angle_alpha 90.00
_cell_angle_beta 90.00
_cell_angle_gamma 120.00
_space_group_name_H-M_alt 'P 1'
_space_group_IT_number 1
loop_
_space_group_symop_operation_xyz
'x,y,z'
loop_
_atom_site_label
_atom_site_type_symbol
_atom_site_fract_x
_atom_site_fract_y
_atom_site_fract_z
Ag1 Ag 0.0000 0.0000 0.1373
Ag2 Ag 0.3333 0.6667 0.6191
Br1 Br 0.0000 0.0000 0.5028
I1 I 0.3333 0.6667 0.0008
```

Record 4
DFT (PBE) results for Sm2Sc2CI2Br2Cl after structural relaxation.

Properties
The polymorph energy (0 for the lowest one) is 0.000 eV per atom. As for the symmetry: C2/m. The value obtained for the total moment is 0.1 μB/f.u. The calculation puts the total energy at -53.0 eV/f.u.

Structure (CIF):
```
data_Sm2Sc2CI2Br2Cl
_chemical_formula_sum 'Sm2 Sc2 C1 I2 Br2 Cl1'
_cell_length_a 9.8686
_cell_length_b 9.8686
_cell_length_c 8.0353
_cell_angle_alpha 100.99
_cell_angle_beta 100.99
_cell_angle_gamma 22.24
_space_group_name_H-M_alt 'P 1'
_space_group_IT_number 1
loop_
_space_group_symop_operation_xyz
'x,y,z'
loop_
_atom_site_label
_atom_site_type_symbol
_atom_site_fract_x
_atom_site_fract_y
_atom_site_fract_z
Br1 Br 0.1554 0.1554 0.3078
Br2 Br 0.8446 0.8446 0.6922
C1 C 0.5000 0.5000 0.0000
Cl1 Cl 0.5000 0.5000 0.5000
I1 I 0.8342 0.8342 0.1741
I2 I 0.1658 0.1658 0.8259
Sc1 Sc 0.6181 0.6181 0.0591
Sc2 Sc 0.3819 0.3819 0.9409
Sm1 Sm 0.9998 0.9998 0.2132
Sm2 Sm 0.0002 0.0002 0.7868
```